(one)
RbTc: optimized geometry, PBE-GGA.

Structure (extended XYZ):
```
12
Lattice="3.764 0.000 0.000 0.000 6.390 0.000 0.000 0.000 17.355" Properties=species:S:1:pos:R:3 pbc="T T T"
Rb 1.882 0.000 3.268
Rb 0.000 0.000 0.000
Rb 0.000 3.195 5.410
Tc 0.000 3.195 1.476
Rb 1.882 3.195 8.677
Rb 1.882 0.000 14.087
Tc 1.882 0.000 10.154
Tc 0.000 3.195 15.878
Tc 1.882 0.000 7.201
Tc 1.882 3.195 0.000
Rb 0.000 3.195 11.945
Tc 0.000 0.000 8.677
```

Output
- symmetry = No. 71
- N(E_F) (states/eV per atom) = 1.111
- theoretical density (Mg/m³) = 4.379
- M_tot (μB/f.u.) = 0.70

(two)
RbTc: optimized geometry, PBE-GGA.

Structure (extended XYZ):
```
16
Lattice="10.570 0.000 0.000 0.000 10.570 0.000 0.000 0.000 10.570" Properties=species:S:1:pos:R:3 pbc="T T T"
Tc 6.151 4.420 6.151
Rb 7.551 7.551 7.551
Tc 0.866 9.705 0.866
Tc 4.420 6.151 6.151
Rb 2.266 8.304 8.304
Rb 8.304 8.304 2.266
Rb 3.019 7.551 3.019
Tc 9.705 9.705 9.705
Tc 6.151 6.151 4.420
Rb 3.019 3.019 7.551
Rb 7.551 3.019 3.019
Tc 9.705 0.866 0.866
Tc 4.420 4.420 4.420
Tc 0.866 0.866 9.705
Rb 8.304 2.266 8.304
Rb 2.266 2.266 2.266
```

Output
- symmetry = No. 217
- N(E_F) (states/eV per atom) = 1.986
- theoretical density (Mg/m³) = 2.064
- M_tot (μB/f.u.) = 2.29

Most stable: (one)

(one)
RbTc3Te: optimized geometry, PBE-GGA.

Structure (extended XYZ):
```
5
Lattice="4.907 0.000 0.000 0.000 4.907 0.000 0.000 0.000 4.907" Properties=species:S:1:pos:R:3 pbc="T T T"
Rb 0.000 0.000 0.000
Tc 0.000 0.000 2.454
Te 2.454 2.454 2.454
Tc 0.000 2.454 0.000
Tc 2.454 0.000 0.000
```

Output
- symmetry = No. 221
- N(E_F) (states/eV per atom) = 1.195
- theoretical density (Mg/m³) = 7.125
- M_tot (μB/f.u.) = 7.14

(two)
RbTc3Te: optimized geometry, PBE-GGA.

Structure (extended XYZ):
```
5
Lattice="5.038 0.000 0.000 0.000 5.038 0.000 0.000 0.000 5.038" Properties=species:S:1:pos:R:3 pbc="T T T"
Tc 2.519 0.000 0.000
Tc 0.000 2.519 0.000
Te 0.000 0.000 0.000
Tc 0.000 0.000 2.519
Rb 2.519 2.519 2.519
```

Output
- symmetry = No. 221
- N(E_F) (states/eV per atom) = 1.231
- theoretical density (Mg/m³) = 6.583
- M_tot (μB/f.u.) = 3.94

Most stable: (two)